# CeEuAgIr (PBE, relaxed)
# D(E_F) (states/eV/atom): 2.082
data_CeEuAgIr
_space_group_name_H-M_alt 'F -4 3 m'
_space_group_IT_number 216
_space_group_name_Hall 'F -4 2 3'
_cell_length_a 7.2100
_cell_length_b 7.2100
_cell_length_c 7.2100
_cell_angle_alpha 90.00
_cell_angle_beta 90.00
_cell_angle_gamma 90.00
loop_
_atom_site_label
_atom_site_fract_x
_atom_site_fract_y
_atom_site_fract_z
Ce1 0.0000 0.0000 0.0000
Eu1 0.0000 0.0000 0.5000
Ag1 0.2500 0.2500 0.2500
Ir1 0.2500 0.2500 0.7500

---

# LiCeEuAg (PBE, relaxed)
# D(E_F) (states/eV/atom): 2.119
data_LiCeEuAg
_space_group_name_H-M_alt 'F -4 3 m'
_space_group_IT_number 216
_space_group_name_Hall 'F -4 2 3'
_cell_length_a 7.5974
_cell_length_b 7.5974
_cell_length_c 7.5974
_cell_angle_alpha 90.00
_cell_angle_beta 90.00
_cell_angle_gamma 90.00
loop_
_atom_site_label
_atom_site_fract_x
_atom_site_fract_y
_atom_site_fract_z
Li1 0.0000 0.0000 0.0000
Ce1 0.2500 0.2500 0.7500
Eu1 0.2500 0.2500 0.2500
Ag1 0.0000 0.0000 0.5000

---

# CeEuMgAg (PBE, relaxed)
# D(E_F) (states/eV/atom): 2.003
data_CeEuMgAg
_space_group_name_H-M_alt 'F -4 3 m'
_space_group_IT_number 216
_space_group_name_Hall 'F -4 2 3'
_cell_length_a 7.7056
_cell_length_b 7.7056
_cell_length_c 7.7056
_cell_angle_alpha 90.00
_cell_angle_beta 90.00
_cell_angle_gamma 90.00
loop_
_atom_site_label
_atom_site_fract_x
_atom_site_fract_y
_atom_site_fract_z
Ce1 0.0000 0.0000 0.0000
Eu1 0.0000 0.0000 0.5000
Mg1 0.2500 0.2500 0.7500
Ag1 0.2500 0.2500 0.2500

---

# CeEuNiAg (PBE, relaxed)
# D(E_F) (states/eV/atom): 2.565
data_CeEuNiAg
_space_group_name_H-M_alt 'F -4 3 m'
_space_group_IT_number 216
_space_group_name_Hall 'F -4 2 3'
_cell_length_a 7.2380
_cell_length_b 7.2380
_cell_length_c 7.2380
_cell_angle_alpha 90.00
_cell_angle_beta 90.00
_cell_angle_gamma 90.00
loop_
_atom_site_label
_atom_site_fract_x
_atom_site_fract_y
_atom_site_fract_z
Ce1 0.0000 0.0000 0.0000
Eu1 0.0000 0.0000 0.5000
Ni1 0.2500 0.2500 0.2500
Ag1 0.2500 0.2500 0.7500

---

# CeEuAgPd (PBE, relaxed)
# D(E_F) (states/eV/atom): 2.878
data_CeEuAgPd
_space_group_name_H-M_alt 'F -4 3 m'
_space_group_IT_number 216
_space_group_name_Hall 'F -4 2 3'
_cell_length_a 7.3582
_cell_length_b 7.3582
_cell_length_c 7.3582
_cell_angle_alpha 90.00
_cell_angle_beta 90.00
_cell_angle_gamma 90.00
loop_
_atom_site_label
_atom_site_fract_x
_atom_site_fract_y
_atom_site_fract_z
Ce1 0.0000 0.0000 0.0000
Eu1 0.0000 0.0000 0.5000
Ag1 0.2500 0.2500 0.2500
Pd1 0.2500 0.2500 0.7500

---

# CeEuAgRh (PBE, relaxed)
# D(E_F) (states/eV/atom): 2.023
data_CeEuAgRh
_space_group_name_H-M_alt 'F -4 3 m'
_space_group_IT_number 216
_space_group_name_Hall 'F -4 2 3'
_cell_length_a 7.2367
_cell_length_b 7.2367
_cell_length_c 7.2367
_cell_angle_alpha 90.00
_cell_angle_beta 90.00
_cell_angle_gamma 90.00
loop_
_atom_site_label
_atom_site_fract_x
_atom_site_fract_y
_atom_site_fract_z
Ce1 0.0000 0.0000 0.0000
Eu1 0.0000 0.0000 0.5000
Ag1 0.2500 0.2500 0.7500
Rh1 0.2500 0.2500 0.2500

---

# CeEuAgRu (PBE, relaxed)
# D(E_F) (states/eV/atom): 1.117
data_CeEuAgRu
_space_group_name_H-M_alt 'F -4 3 m'
_space_group_IT_number 216
_space_group_name_Hall 'F -4 2 3'
_cell_length_a 7.1749
_cell_length_b 7.1749
_cell_length_c 7.1749
_cell_angle_alpha 90.00
_cell_angle_beta 90.00
_cell_angle_gamma 90.00
loop_
_atom_site_label
_atom_site_fract_x
_atom_site_fract_y
_atom_site_fract_z
Ce1 0.0000 0.0000 0.0000
Eu1 0.0000 0.0000 0.5000
Ag1 0.2500 0.2500 0.2500
Ru1 0.2500 0.2500 0.7500

---

# CeEuSiAg (PBE, relaxed)
# D(E_F) (states/eV/atom): 2.761
# Formation energy without anion corrections (meV per atom): -316
data_CeEuSiAg
_space_group_name_H-M_alt 'F -4 3 m'
_space_group_IT_number 216
_space_group_name_Hall 'F -4 2 3'
_cell_length_a 7.3929
_cell_length_b 7.3929
_cell_length_c 7.3929
_cell_angle_alpha 90.00
_cell_angle_beta 90.00
_cell_angle_gamma 90.00
loop_
_atom_site_label
_atom_site_fract_x
_atom_site_fract_y
_atom_site_fract_z
Ce1 0.0000 0.0000 0.0000
Eu1 0.0000 0.0000 0.5000
Si1 0.2500 0.2500 0.7500
Ag1 0.2500 0.2500 0.2500

---

# CeEuAgSn (PBE, relaxed)
# D(E_F) (states/eV/atom): 3.039
data_CeEuAgSn
_space_group_name_H-M_alt 'F -4 3 m'
_space_group_IT_number 216
_space_group_name_Hall 'F -4 2 3'
_cell_length_a 7.6981
_cell_length_b 7.6981
_cell_length_c 7.6981
_cell_angle_alpha 90.00
_cell_angle_beta 90.00
_cell_angle_gamma 90.00
loop_
_atom_site_label
_atom_site_fract_x
_atom_site_fract_y
_atom_site_fract_z
Ce1 0.0000 0.0000 0.0000
Eu1 0.0000 0.0000 0.5000
Ag1 0.2500 0.2500 0.2500
Sn1 0.2500 0.2500 0.7500

---

# CeEuTlAg (PBE, relaxed)
# D(E_F) (states/eV/atom): 3.777
data_CeEuTlAg
_space_group_name_H-M_alt 'F -4 3 m'
_space_group_IT_number 216
_space_group_name_Hall 'F -4 2 3'
_cell_length_a 7.7208
_cell_length_b 7.7208
_cell_length_c 7.7208
_cell_angle_alpha 90.00
_cell_angle_beta 90.00
_cell_angle_gamma 90.00
loop_
_atom_site_label
_atom_site_fract_x
_atom_site_fract_y
_atom_site_fract_z
Ce1 0.0000 0.0000 0.0000
Eu1 0.0000 0.0000 0.5000
Tl1 0.2500 0.2500 0.7500
Ag1 0.2500 0.2500 0.2500

---

# CeAg3F8 (PBE, relaxed)
# D(E_F) (states/eV/atom): 1.329
# Formation energy without anion corrections (meV per atom): -2163
data_CeAg3F8
_space_group_name_H-M_alt 'P m -3 m'
_space_group_IT_number 221
_space_group_name_Hall '-P 4 2 3'
_cell_length_a 5.6408
_cell_length_b 5.6408
_cell_length_c 5.6408
_cell_angle_alpha 90.00
_cell_angle_beta 90.00
_cell_angle_gamma 90.00
loop_
_atom_site_label
_atom_site_fract_x
_atom_site_fract_y
_atom_site_fract_z
Ce1 0.0000 0.0000 0.0000
Ag1 0.0000 0.5000 0.5000
F1 0.2359 0.2359 0.2359

---

# CeAg7F12 (PBE, relaxed)
# D(E_F) (states/eV/atom): 0.587
# Formation energy without anion corrections (meV per atom): -1634
data_CeAg7F12
_space_group_name_H-M_alt 'R -3'
_space_group_IT_number 148
_space_group_name_Hall '-R 3'
_cell_length_a 13.3169
_cell_length_b 13.3169
_cell_length_c 6.6694
_cell_angle_alpha 90.00
_cell_angle_beta 90.00
_cell_angle_gamma 120.00
loop_
_atom_site_label
_atom_site_fract_x
_atom_site_fract_y
_atom_site_fract_z
Ce1 0.0000 0.0000 0.0000
Ag1 0.0000 0.0000 0.5000
Ag2 0.0129 0.5874 0.2987
F1 0.0228 0.1368 0.2073
F2 0.0413 0.4361 0.3131

---

# CeAg4F10 (PBE, relaxed)
# D(E_F) (states/eV/atom): 0.374
# Formation energy without anion corrections (meV per atom): -1954
data_CeAg4F10
_space_group_name_H-M_alt 'I 4/m'
_space_group_IT_number 87
_space_group_name_Hall '-I 4'
_cell_length_a 8.9239
_cell_length_b 8.9239
_cell_length_c 5.5876
_cell_angle_alpha 90.00
_cell_angle_beta 90.00
_cell_angle_gamma 90.00
loop_
_atom_site_label
_atom_site_fract_x
_atom_site_fract_y
_atom_site_fract_z
Ce1 0.0000 0.0000 0.0000
Ag1 0.0904 0.6936 0.5000
F1 0.0000 0.5000 0.2500
F2 0.1199 0.1702 0.2396

---

# CeAg2F8 (PBE, relaxed)
# ΔE to the lowest computed polymorph (eV/f.u.): 0.67
# D(E_F) (states/eV/atom): 0.521
# Formation energy without anion corrections (meV per atom): -2173
data_CeAg2F8
_space_group_name_H-M_alt 'C 1 2/m 1'
_space_group_IT_number 12
_cell_length_a 13.2640
_cell_length_b 4.1734
_cell_length_c 5.6877
_cell_angle_alpha 90.00
_cell_angle_beta 106.86
_cell_angle_gamma 90.00
loop_
_space_group_symop_operation_xyz
'x,y,z'
'-x,-y,-z'
'-x,y,-z'
'x,-y,z'
'x+1/2,y+1/2,z'
'-x+1/2,-y+1/2,-z'
'-x+1/2,y+1/2,-z'
'x+1/2,-y+1/2,z'
loop_
_atom_site_label
_atom_site_fract_x
_atom_site_fract_y
_atom_site_fract_z
Ce1 0.0000 0.0000 0.0000
Ag1 0.1622 0.5000 0.6259
F1 0.0432 0.5000 0.8249
F2 0.0776 0.0000 0.3969
F3 0.1608 0.0000 0.9906
F4 0.2256 0.5000 0.3381

---

# CeAgF (PBE, relaxed)
# D(E_F) (states/eV/atom): 2.253
# Formation energy without anion corrections (meV per atom): -1623
data_CeAgF
_space_group_name_H-M_alt 'R -3 m'
_space_group_IT_number 166
_space_group_name_Hall '-R 3 2"'
_cell_length_a 4.4425
_cell_length_b 4.4425
_cell_length_c 22.9149
_cell_angle_alpha 90.00
_cell_angle_beta 90.00
_cell_angle_gamma 120.00
loop_
_atom_site_label
_atom_site_fract_x
_atom_site_fract_y
_atom_site_fract_z
Ce1 0.0000 0.0000 0.0940
Ag1 0.0000 0.0000 0.3498
F1 0.0000 0.0000 0.1989

---

# CeAg2F8 (PBE, relaxed)
# ΔE to the lowest computed polymorph (eV/f.u.): 0.00
# D(E_F) (states/eV/atom): 0.830
# Formation energy without anion corrections (meV per atom): -2234
data_CeAg2F8
_space_group_name_H-M_alt 'P -3'
_space_group_IT_number 147
_cell_length_a 7.1500
_cell_length_b 7.1500
_cell_length_c 4.1979
_cell_angle_alpha 90.00
_cell_angle_beta 90.00
_cell_angle_gamma 120.00
loop_
_space_group_symop_operation_xyz
'x,y,z'
'-x,-y,-z'
'-y,x-y,z'
'y,-x+y,-z'
'-x+y,-x,z'
'x-y,x,-z'
loop_
_atom_site_label
_atom_site_fract_x
_atom_site_fract_y
_atom_site_fract_z
Ce1 0.0000 0.0000 0.0000
Ag1 0.3333 0.6667 0.7363
F1 0.1519 0.3054 0.7432
F2 0.3333 0.6667 0.2365

---

# CeGaAg2F8 (PBE, relaxed)
# D(E_F) (states/eV/atom): 0.325
# Formation energy without anion corrections (meV per atom): -2481
data_CeGaAg2F8
_space_group_name_H-M_alt 'P 1 2/m 1'
_space_group_IT_number 10
_cell_length_a 4.6676
_cell_length_b 7.0298
_cell_length_c 5.8027
_cell_angle_alpha 90.00
_cell_angle_beta 93.06
_cell_angle_gamma 90.00
loop_
_space_group_symop_operation_xyz
'x,y,z'
'-x,-y,-z'
'-x,y,-z'
'x,-y,z'
loop_
_atom_site_label
_atom_site_fract_x
_atom_site_fract_y
_atom_site_fract_z
Ce1 0.0000 0.0000 0.0000
Ga1 0.0000 0.5000 0.0000
Ag1 0.5000 0.2787 0.5000
F1 0.1356 0.2841 0.8114
F2 0.3278 0.5000 0.1953
F3 0.3985 0.0000 0.2387

---

# KCeAg2F8 (PBE, relaxed)
# D(E_F) (states/eV/atom): 0.515
# Formation energy without anion corrections (meV per atom): -2344
data_KCeAg2F8
_space_group_name_H-M_alt 'P -3 m 1'
_space_group_IT_number 164
_space_group_name_Hall '-P 3 2"'
_cell_length_a 6.4382
_cell_length_b 6.4382
_cell_length_c 7.6467
_cell_angle_alpha 90.00
_cell_angle_beta 90.00
_cell_angle_gamma 120.00
loop_
_atom_site_label
_atom_site_fract_x
_atom_site_fract_y
_atom_site_fract_z
K1 0.0000 0.0000 0.0000
Ce1 0.0000 0.0000 0.5000
Ag1 0.3333 0.6667 0.1827
F1 0.1488 0.2975 0.3154
F2 0.3333 0.6667 0.9134

---

# KCeAg2F6 (PBE, relaxed)
# D(E_F) (states/eV/atom): 0.421
# Formation energy without anion corrections (meV per atom): -2524
data_KCeAg2F6
_space_group_name_H-M_alt 'R 3'
_space_group_IT_number 146
_space_group_name_Hall 'R 3'
_cell_length_a 6.3962
_cell_length_b 6.3962
_cell_length_c 16.2147
_cell_angle_alpha 90.00
_cell_angle_beta 90.00
_cell_angle_gamma 120.00
loop_
_atom_site_label
_atom_site_fract_x
_atom_site_fract_y
_atom_site_fract_z
K1 0.0000 0.0000 0.0000
Ce1 0.0000 0.0000 0.4948
Ag1 0.0000 0.0000 0.2747
Ag2 0.0000 0.0000 0.7755
F1 0.0070 0.6436 0.2271
F2 0.0089 0.2787 0.4033

---

# Li2CeAgF8 (PBE, relaxed)
# D(E_F) (states/eV/atom): 0.522
# Formation energy without anion corrections (meV per atom): -2538
data_Li2CeAgF8
_space_group_name_H-M_alt 'P -3'
_space_group_IT_number 147
_cell_length_a 5.0244
_cell_length_b 5.0244
_cell_length_c 7.1885
_cell_angle_alpha 90.00
_cell_angle_beta 90.00
_cell_angle_gamma 120.00
loop_
_space_group_symop_operation_xyz
'x,y,z'
'-x,-y,-z'
'-y,x-y,z'
'y,-x+y,-z'
'-x+y,-x,z'
'x-y,x,-z'
loop_
_atom_site_label
_atom_site_fract_x
_atom_site_fract_y
_atom_site_fract_z
Li1 0.3333 0.6667 0.2510
Ce1 0.0000 0.0000 0.5000
Ag1 0.0000 0.0000 0.0000
F1 0.0048 0.7159 0.7626
F2 0.3333 0.6667 0.5009

---

# CeMgAgF6 (PBE, relaxed)
# D(E_F) (states/eV/atom): 0.401
# Formation energy without anion corrections (meV per atom): -3092
data_CeMgAgF6
_space_group_name_H-M_alt 'P -3 1 c'
_space_group_IT_number 163
_space_group_name_Hall '-P 3 2c'
_cell_length_a 5.9256
_cell_length_b 5.9256
_cell_length_c 9.4767
_cell_angle_alpha 90.00
_cell_angle_beta 90.00
_cell_angle_gamma 120.00
loop_
_atom_site_label
_atom_site_fract_x
_atom_site_fract_y
_atom_site_fract_z
Ce1 0.3333 0.6667 0.2500
Mg1 0.3333 0.6667 0.7500
Ag1 0.0000 0.0000 0.0000
F1 0.0371 0.3850 0.6366

---

no.,E (eV/cell)
1,-117.0
2,-83.3
3,-82.9
4,-100.7
5,-103.1
6,-110.8
7,-114.6
8,-103.0
9,-99.2
10,-89.3
11,-55.4
12,-243.1
13,-130.7
14,-101.0
15,-93.1
16,-51.2
17,-59.4
18,-55.8
19,-147.6
20,-58.0
21,-98.9